(1)
This record from the Alexandria database describes crystalline PrPd2Au at its relaxed geometry. The functional is PBE.

Cell: 4.1606 4.3486 4.3486 Å, 90.00 90.00 90.00°
Last column: nearest neighbours and their distance in Å.
Fractional coordinates of all 4 atoms:
Pd (0.0000, 0.0000, 0.5000)  4 Au 3.01, 4 Pr 3.01, 4 Pd 3.07
Pr (0.5000, 0.5000, 0.5000)  8 Pd 3.01, 4 Au 3.07
Au (0.5000, 0.0000, 0.0000)  8 Pd 3.01, 4 Pr 3.07
Pd (0.0000, 0.5000, 0.0000)  4 Pr 3.01, 4 Au 3.01, 4 Pd 3.07

total moment: 0.000 μB per formula unit
DFT formation energy: -0.69 eV per atom


(2)
This record from the Alexandria database describes crystalline PrPdAu2 at its relaxed geometry. The functional is PBE.

Cell: 4.2551 4.4508 4.4508 Å, 90.00 90.00 90.00°
Last column: nearest neighbours and their distance in Å.
Fractional coordinates of all 4 atoms:
Pd (0.5000, 0.0000, 0.0000)  8 Au 3.08, 4 Pr 3.15
Au (0.0000, 0.0000, 0.5000)  4 Pr 3.08, 4 Pd 3.08, 4 Au 3.15
Pr (0.5000, 0.5000, 0.5000)  8 Au 3.08, 4 Pd 3.15
Au (0.0000, 0.5000, 0.0000)  4 Pd 3.08, 4 Pr 3.08, 4 Au 3.15

total moment: 0.000 μB per formula unit
DFT formation energy: -0.54 eV per atom


(3)
This record from the Alexandria database describes crystalline PrPd6Au at its relaxed geometry. The functional is PBE.

Cell: 4.1795 5.7733 5.7733 Å, 89.94 90.00 90.00°
Last column: nearest neighbours and their distance in Å.
Fractional coordinates of all 8 atoms:
Pd (0.5000, 0.5000, 0.0000)  2 Pr 2.89, 2 Au 2.89, 8 Pd 2.92
Pr (0.5000, 0.0000, 0.0000)  12 Pd 2.89-2.97
Au (0.5000, 0.5000, 0.5000)  12 Pd 2.87-2.89
Pd (0.0000, 0.2592, 0.7408)  8 Pd 2.78-2.99, 2 Au 2.87, 2 Pr 2.97
Pd (0.5000, 0.0000, 0.5000)  2 Au 2.89, 2 Pr 2.89, 8 Pd 2.92
Pd (0.0000, 0.7408, 0.2592)  8 Pd 2.78-2.99, 2 Au 2.87, 2 Pr 2.97
Pd (0.0000, 0.2589, 0.2589)  8 Pd 2.78-2.99, 2 Au 2.87, 2 Pr 2.97
Pd (0.0000, 0.7411, 0.7411)  8 Pd 2.78-2.99, 2 Au 2.87, 2 Pr 2.97

total moment: 0.000 μB per formula unit
DFT formation energy: -0.37 eV per atom


(4)
This record from the Alexandria database describes crystalline Pr2Pd5Pt2Au at its relaxed geometry. The functional is PBE.

Cell: 4.1910 9.6199 9.6199 Å, 90.00 90.00 90.00°
Last column: nearest neighbours and their distance in Å.
Fractional coordinates of all 20 atoms:
Pt (0.0000, 0.1234, 0.6234)  6 Pd 2.69-2.75, 3 Pr 2.76-2.90
Au (0.0000, 0.5000, 0.5000)  8 Pd 2.92
Pd (0.5000, 0.5642, 0.7008)  2 Pt 2.75, 3 Pd 2.87-2.94, 2 Au 2.92
Pd (0.5000, 0.7008, 0.4358)  2 Pt 2.75, 3 Pd 2.87-2.94, 2 Au 2.92
Au (0.0000, 0.0000, 0.0000)  8 Pd 2.92
Pd (0.5000, 0.5000, 0.0000)  4 Pt 2.69, 4 Pd 2.94
Pr (0.0000, 0.3264, 0.8264)  3 Pt 2.76-2.90
Pd (0.5000, 0.0642, 0.7992)  2 Pt 2.75, 3 Pd 2.87-2.94, 2 Au 2.92
Pt (0.0000, 0.6234, 0.8766)  6 Pd 2.69-2.75, 3 Pr 2.76-2.90
Pr (0.0000, 0.6736, 0.1736)  3 Pt 2.76-2.90
Pd (0.5000, 0.2992, 0.5642)  2 Pt 2.75, 3 Pd 2.87-2.94, 2 Au 2.92
Pr (0.0000, 0.8264, 0.6736)  3 Pt 2.76-2.90
Pd (0.5000, 0.2008, 0.0642)  2 Pt 2.75, 3 Pd 2.87-2.94, 2 Au 2.92
Pr (0.0000, 0.1736, 0.3264)  3 Pt 2.76-2.90
Pd (0.5000, 0.4358, 0.2992)  2 Pt 2.75, 3 Pd 2.87-2.94, 2 Au 2.92
Pd (0.5000, 0.0000, 0.5000)  4 Pt 2.69, 4 Pd 2.94
Pt (0.0000, 0.8766, 0.3766)  6 Pd 2.69-2.75, 3 Pr 2.76-2.90
Pd (0.5000, 0.9358, 0.2008)  2 Pt 2.75, 3 Pd 2.87-2.94, 2 Au 2.92
Pd (0.5000, 0.7992, 0.9358)  2 Pt 2.75, 3 Pd 2.87-2.94, 2 Au 2.92
Pt (0.0000, 0.3766, 0.1234)  6 Pd 2.69-2.75, 3 Pr 2.76-2.90

total moment: 0.000 μB per formula unit
DFT formation energy: -0.63 eV per atom


(5)
This record from the Alexandria database describes crystalline PrPdPtAu at its relaxed geometry. The functional is PBE.

Cell: 4.8504 4.8504 4.8504 Å, 60.00 60.00 60.00°
Last column: nearest neighbours and their distance in Å.
Fractional coordinates of all 4 atoms:
Au (0.5000, 0.5000, 0.5000)  4 Pd 2.97, 4 Pt 2.97
Pt (0.7500, 0.7500, 0.7500)  4 Pr 2.97, 4 Au 2.97
Pr (0.0000, 0.0000, 0.0000)  4 Pd 2.97, 4 Pt 2.97
Pd (0.2500, 0.2500, 0.2500)  4 Au 2.97, 4 Pr 2.97

total moment: 0.000 μB per formula unit
DFT formation energy: -0.64 eV per atom


(6)
This record from the Alexandria database describes crystalline Pr2PdPtAu at its relaxed geometry. The functional is PBE.

Cell: 4.5137 7.5567 7.3950 Å, 108.76 90.00 90.00°
Last column: nearest neighbours and their distance in Å.
Fractional coordinates of all 10 atoms:
Au (0.2500, 0.6905, 0.3322)  3 Pd 2.88-2.92, 4 Pr 3.11-3.15
Pr (0.2500, 0.2993, 0.9542)  3 Pt 2.98-3.01, 2 Au 3.11, 1 Pd 3.32
Pd (0.2500, 0.5403, 0.6502)  1 Pt 2.76, 3 Au 2.88-2.92, 1 Pr 3.06, 2 Pd 3.09
Pt (0.2500, 0.8911, 0.9201)  1 Pd 2.76, 2 Pt 2.82, 5 Pr 2.98-3.03
Pr (0.7500, 0.8551, 0.6375)  3 Pt 3.03-3.22, 3 Pd 3.06-3.30, 3 Au 3.15-3.37
Pr (0.2500, 0.1449, 0.3625)  3 Pt 3.03-3.22, 3 Pd 3.06-3.30, 3 Au 3.15-3.37
Pt (0.7500, 0.1089, 0.0799)  1 Pd 2.76, 2 Pt 2.82, 5 Pr 2.98-3.03
Pd (0.7500, 0.4597, 0.3498)  1 Pt 2.76, 3 Au 2.88-2.92, 1 Pr 3.06, 2 Pd 3.09
Au (0.7500, 0.3095, 0.6678)  3 Pd 2.88-2.92, 4 Pr 3.11-3.15
Pr (0.7500, 0.7007, 0.0458)  3 Pt 2.98-3.01, 2 Au 3.11, 1 Pd 3.32

total moment: 0.000 μB per formula unit
DFT formation energy: -0.83 eV per atom


(7)
This record from the Alexandria database describes crystalline PrPdRhAu at its relaxed geometry. The functional is PBE.

Cell: 4.7905 4.7905 4.7905 Å, 60.00 60.00 60.00°
Last column: nearest neighbours and their distance in Å.
Fractional coordinates of all 4 atoms:
Au (0.7500, 0.7500, 0.7500)  4 Rh 2.93, 4 Pd 2.93
Pd (0.0000, 0.0000, 0.0000)  4 Pr 2.93, 4 Au 2.93
Pr (0.2500, 0.2500, 0.2500)  4 Rh 2.93, 4 Pd 2.93
Rh (0.5000, 0.5000, 0.5000)  4 Pr 2.93, 4 Au 2.93

total moment: 0.000 μB per formula unit
DFT formation energy: -0.49 eV per atom


(8)
This record from the Alexandria database describes crystalline Pr2Sb4Pd3Au at its relaxed geometry. The functional is PBE.

Cell: 4.6416 4.6416 10.9037 Å, 90.00 90.00 90.00°
Last column: nearest neighbours and their distance in Å.
Fractional coordinates of all 10 atoms:
Pd (0.5000, 0.0000, 0.8717)  5 Sb 2.59-2.71
Pr (0.5000, 0.0000, 0.2585)  8 Sb 3.48-3.65, 2 Au 3.51, 6 Pd 3.51-3.58
Sb (0.5000, 0.5000, 0.0000)  4 Pd 2.71
Pd (0.0000, 0.5000, 0.1283)  5 Sb 2.59-2.71
Sb (0.5000, 0.0000, 0.6341)  3 Pd 2.59-2.74, 2 Au 2.74
Sb (0.0000, 0.5000, 0.3659)  3 Pd 2.59-2.74, 2 Au 2.74
Pr (0.0000, 0.5000, 0.7415)  8 Sb 3.48-3.65, 2 Au 3.51, 6 Pd 3.51-3.58
Pd (0.0000, 0.0000, 0.5000)  4 Sb 2.74
Sb (0.0000, 0.0000, 0.0000)  4 Pd 2.71
Au (0.5000, 0.5000, 0.5000)  4 Sb 2.74

total moment: 0.000 μB per formula unit
energy relative to the elements, uncorrected: -742 meV per atom


(9)
This record from the Alexandria database describes crystalline PrSbPdAu at its relaxed geometry. The functional is PBE.

Cell: 5.0303 5.0303 5.0303 Å, 60.00 60.00 60.00°
Last column: nearest neighbours and their distance in Å.
Fractional coordinates of all 4 atoms:
Au (0.0000, 0.0000, 0.0000)  4 Sb 3.08, 4 Pr 3.08
Sb (0.2500, 0.2500, 0.2500)  4 Pd 3.08, 4 Au 3.08
Pd (0.5000, 0.5000, 0.5000)  4 Sb 3.08, 4 Pr 3.08
Pr (0.7500, 0.7500, 0.7500)  4 Pd 3.08, 4 Au 3.08

total moment: 0.000 μB per formula unit
energy relative to the elements, uncorrected: -678 meV per atom


(10)
This record from the Alexandria database describes crystalline Pr2Si3Pd4Au at its relaxed geometry. The functional is PBE.

Cell: 4.3324 4.3324 10.1567 Å, 90.00 90.00 90.00°
Last column: nearest neighbours and their distance in Å.
Fractional coordinates of all 10 atoms:
Pr (0.5000, 0.0000, 0.2546)  8 Pd 3.21-3.37, 2 Au 3.30, 6 Si 3.30-3.36
Pd (0.5000, 0.0000, 0.6497)  1 Si 2.35
Pd (0.5000, 0.5000, 0.0000)  4 Si 2.48
Si (0.0000, 0.0000, 0.5000)  4 Pd 2.65
Pd (0.0000, 0.0000, 0.0000)  4 Si 2.48
Au (0.5000, 0.5000, 0.5000)  4 Pd 2.65
Si (0.0000, 0.5000, 0.1185)  5 Pd 2.35-2.48
Pd (0.0000, 0.5000, 0.3503)  1 Si 2.35
Si (0.5000, 0.0000, 0.8815)  5 Pd 2.35-2.48
Pr (0.0000, 0.5000, 0.7454)  8 Pd 3.21-3.37, 6 Si 3.30-3.36, 2 Au 3.30

total moment: 0.000 μB per formula unit
energy relative to the elements, uncorrected: -789 meV per atom


(11)
This record from the Alexandria database describes crystalline PrSi2Pd5Au at its relaxed geometry. The functional is PBE.

Cell: 4.7351 4.7351 7.1176 Å, 90.00 90.00 90.00°
Last column: nearest neighbours and their distance in Å.
Fractional coordinates of all 9 atoms:
Si (0.5000, 0.5000, 0.1590)  1 Si 2.26, 5 Pd 2.42-2.43
Au (0.0000, 0.0000, 0.0000)  8 Pd 2.88
Pd (0.5000, 0.0000, 0.7687)  2 Si 2.42
Pd (0.5000, 0.0000, 0.2313)  2 Si 2.42
Pd (0.0000, 0.5000, 0.7687)  2 Si 2.42
Pd (0.5000, 0.5000, 0.5000)  2 Si 2.43
Pd (0.0000, 0.5000, 0.2313)  2 Si 2.42
Si (0.5000, 0.5000, 0.8410)  1 Si 2.26, 5 Pd 2.42-2.43
Pr (0.0000, 0.0000, 0.5000)  12 Pd 3.04-3.35

total moment: 0.000 μB per formula unit
energy relative to the elements, uncorrected: -519 meV per atom


(12)
This record from the Alexandria database describes crystalline Pr3Si6Pd2Au at its relaxed geometry. The functional is PBE.

Cell: 5.8714 5.8714 8.3130 Å, 90.00 90.00 120.00°
Last column: nearest neighbours and their distance in Å.
Fractional coordinates of all 12 atoms:
Si (0.3901, 0.1951, 0.7224)  2 Si 2.44, 1 Pd 2.51, 1 Au 2.71
Pr (0.0000, 0.0000, 0.0000)  6 Si 3.04, 6 Pd 3.40
Si (0.1951, 0.8049, 0.2776)  2 Si 2.44, 1 Pd 2.51, 1 Au 2.71
Si (0.1951, 0.3901, 0.2776)  2 Si 2.44, 1 Pd 2.51, 1 Au 2.71
Si (0.6099, 0.8049, 0.2776)  2 Si 2.44, 1 Pd 2.51, 1 Au 2.71
Pd (0.3333, 0.6667, 0.0275)  3 Si 2.51
Si (0.8049, 0.1951, 0.7224)  2 Si 2.44, 1 Pd 2.51, 1 Au 2.71
Pr (0.6667, 0.3333, 0.3819)  9 Si 3.07-3.16, 1 Pd 3.40
Pr (0.3333, 0.6667, 0.6181)  9 Si 3.07-3.16, 1 Pd 3.40
Au (0.0000, 0.0000, 0.5000)  6 Si 2.71
Si (0.8049, 0.6099, 0.7224)  2 Si 2.44, 1 Pd 2.51, 1 Au 2.71
Pd (0.6667, 0.3333, 0.9725)  3 Si 2.51

total moment: 0.000 μB per formula unit
energy relative to the elements, uncorrected: -398 meV per atom